[1]
## KHgBi3 (PBE)

Data for a geometry-optimized KHgBi3 structure.

ΔH_f (0 K) ... 254 meV/atom
Energy above the lowest structure with this stoichiometry ... 388 meV per atom
Mass density ... 7.18 Mg/m³
Raw total energy ... -11.773 eV/cell

a = 5.8535 Å, b = 5.8535 Å, c = 5.8535 Å
α = 90.00°, β = 90.00°, γ = 90.00°
Last column: nearest neighbours and their distance in Å.
Space group Pm-3m (No. 221)
Inequivalent atoms, fractional coordinates:
K 0.0000 0.0000 0.0000 [1 per cell]  12 Bi 4.14
Hg 0.5000 0.5000 0.5000 [1 per cell]  6 Bi 2.93
Bi 0.0000 0.5000 0.5000 [3 per cell]  2 Hg 2.93

---

[2]
## LaZnInPt3 (PBE)

Data for a geometry-optimized LaZnInPt3 structure.

ΔH_f (0 K) ... -614 meV/atom
Mass density ... 11.45 Mg/m³
Raw total energy ... -122.977 eV/cell

a = 5.7428 Å, b = 12.2394 Å, c = 7.4646 Å
α = 90.00°, β = 90.00°, γ = 90.00°
Last column: nearest neighbours and their distance in Å.
Space group Cmcm (No. 63)
Inequivalent atoms, fractional coordinates:
La 0.0000 0.1682 0.2500 [4 per cell]  6 Pt 2.88-3.11
Zn 0.0000 0.4324 0.2500 [4 per cell]  5 Pt 2.51-2.70
In 0.0000 0.1305 0.7500 [4 per cell]  5 Pt 2.65-2.83
Pt 0.0000 0.3470 0.7500 [4 per cell]  1 In 2.65, 1 Zn 2.70, 2 La 2.88
Pt 0.2443 0.0000 0.0000 [8 per cell]  2 Zn 2.51, 1 Pt 2.81

---

[3]
## KRePb (PBE)

Data for a geometry-optimized KRePb structure.

ΔH_f (0 K) ... 1103 meV/atom
Energy above the lowest structure with this stoichiometry ... 46 meV per atom
Mass density ... 9.65 Mg/m³
Raw total energy ... -27.889 eV/cell

a = 3.0828 Å, b = 3.0828 Å, c = 15.6658 Å
α = 90.00°, β = 90.00°, γ = 90.00°
Last column: nearest neighbours and their distance in Å.
Space group I4mm (No. 107)
Inequivalent atoms, fractional coordinates:
K 0.0000 0.0000 0.0000 [2 per cell]  4 K 3.08
Re 0.0000 0.0000 0.6756 [2 per cell]  4 Pb 2.96, 4 Re 3.08
Pb 0.0000 0.0000 0.3037 [2 per cell]  4 Re 2.96, 4 Pb 3.08